[1]
Entry from Alexandria via LeMat-Bulk: a relaxed Er6ZnIn2 crystal (PBE).

CIF file:
```
data_Er6ZnIn2
_chemical_formula_sum 'Er6 Zn1 In2'
_symmetry_space_group_name_H-M 'P 1'
_symmetry_Int_Tables_number 1
_cell_length_a 8.7564
_cell_length_b 8.7564
_cell_length_c 8.7564
_cell_angle_alpha 146.42
_cell_angle_beta 131.59
_cell_angle_gamma 60.21
loop_
_symmetry_equiv_pos_as_xyz
'x,y,z'
loop_
_atom_site_label
_atom_site_fract_x
_atom_site_fract_y
_atom_site_fract_z
Er1 0.0817 0.3388 0.7430
Er2 0.2353 0.0000 0.2353
Er3 0.4042 0.6612 0.7430
Er4 0.5958 0.3388 0.2570
Er5 0.7647 0.0000 0.7647
Er6 0.9183 0.6612 0.2570
Zn1 0.0000 0.5000 0.5000
In1 0.3337 0.8337 0.5000
In2 0.6663 0.1663 0.5000
```

Mass density ... 7.835 Mg/m³
SG ... Immm, No. 71


[2]
Entry from Alexandria via LeMat-Bulk: a relaxed Er3Zn2In4 crystal (PBE).

CIF file:
```
data_Er3Zn2In4
_chemical_formula_sum 'Er3 Zn2 In4'
_symmetry_space_group_name_H-M 'P 1'
_symmetry_Int_Tables_number 1
_cell_length_a 5.9432
_cell_length_b 5.9432
_cell_length_c 9.0258
_cell_angle_alpha 114.23
_cell_angle_beta 114.23
_cell_angle_gamma 47.10
loop_
_symmetry_equiv_pos_as_xyz
'x,y,z'
loop_
_atom_site_label
_atom_site_fract_x
_atom_site_fract_y
_atom_site_fract_z
Er1 0.0000 0.0000 0.0000
Er2 0.3338 0.3338 0.3369
Er3 0.6662 0.6662 0.6631
Zn1 0.3888 0.3888 0.7179
Zn2 0.6112 0.6112 0.2821
In1 0.0576 0.0576 0.3831
In2 0.2830 0.2830 0.9362
In3 0.7170 0.7170 0.0638
In4 0.9424 0.9424 0.6169
```

Mass density ... 8.683 Mg/m³
SG ... C2/m, No. 12


[3]
Entry from Alexandria via LeMat-Bulk: a relaxed Er3ZnIn2 crystal (PBE).

CIF file:
```
data_Er3ZnIn2
_chemical_formula_sum 'Er3 Zn1 In2'
_symmetry_space_group_name_H-M 'P 1'
_symmetry_Int_Tables_number 1
_cell_length_a 3.6038
_cell_length_b 3.6038
_cell_length_c 11.3898
_cell_angle_alpha 90.00
_cell_angle_beta 90.00
_cell_angle_gamma 90.00
loop_
_symmetry_equiv_pos_as_xyz
'x,y,z'
loop_
_atom_site_label
_atom_site_fract_x
_atom_site_fract_y
_atom_site_fract_z
Er1 0.0000 0.0000 0.0000
Er2 0.0000 0.0000 0.3512
Er3 0.0000 0.0000 0.6488
Zn1 0.5000 0.5000 0.5000
In1 0.5000 0.5000 0.1767
In2 0.5000 0.5000 0.8233
```

Mass density ... 8.945 Mg/m³
SG ... P4/mmm, No. 123


For the records above, the corresponding calculated volume values read 30.579, 23.201, 24.655 Å³ per atom.
For the records above, the corresponding energy relative to the elements values read -0.91, -9.05, -9.79 kcal/mol of atoms.